Record 1
# Li3Cd4Ag3 | the Alexandria database | PBE-GGA | relaxed
# Final energy (eV/cell): -37.46
# Fermi-level density of states (states/eV/atom): 0.41
data_Li3Cd4Ag3
_symmetry_space_group_name_H-M 'A m m 2'
_symmetry_Int_Tables_number 38
_symmetry_space_group_name_Hall 'A 2 -2'
_cell_length_a 3.3610
_cell_length_b 10.6285
_cell_length_c 10.7225
_cell_angle_alpha 90.00
_cell_angle_beta 90.00
_cell_angle_gamma 90.00
loop_
_atom_site_label
_atom_site_fract_x
_atom_site_fract_y
_atom_site_fract_z
Li1 0.0000 0.0000 0.0000
Li2 0.0000 0.1614 0.6757
Cd1 0.5000 0.0000 0.5350
Cd2 0.5000 0.0000 0.8062
Cd3 0.5000 0.1416 0.1574
Ag1 0.0000 0.0000 0.3251
Ag2 0.5000 0.2484 0.4126



Record 2
# GdTmAlSn | the Alexandria database | PBE-GGA | relaxed
# Final energy (eV/cell): -112.32
# Fermi-level density of states (states/eV/atom): 0.69
data_GdTmAlSn
_symmetry_space_group_name_H-M 'F -4 3 m'
_symmetry_Int_Tables_number 216
_symmetry_space_group_name_Hall 'F -4 2 3'
_cell_length_a 7.3854
_cell_length_b 7.3854
_cell_length_c 7.3854
_cell_angle_alpha 90.00
_cell_angle_beta 90.00
_cell_angle_gamma 90.00
loop_
_atom_site_label
_atom_site_fract_x
_atom_site_fract_y
_atom_site_fract_z
Gd1 0.0000 0.0000 0.0000
Tm1 0.0000 0.0000 0.5000
Al1 0.2500 0.2500 0.2500
Sn1 0.2500 0.2500 0.7500



Record 3
# Ca3TlC4O12 | the Alexandria database | PBE-GGA | relaxed
# Final energy (eV/cell): -431.61
# Formation energy from raw total energies (meV/atom): -1955
# Fermi-level density of states (states/eV/atom): 0.23
data_Ca3TlC4O12
_symmetry_space_group_name_H-M 'R 3 2'
_symmetry_Int_Tables_number 155
_symmetry_space_group_name_Hall 'R 3 2"'
_cell_length_a 10.3349
_cell_length_b 10.3349
_cell_length_c 8.8071
_cell_angle_alpha 90.00
_cell_angle_beta 90.00
_cell_angle_gamma 120.00
loop_
_atom_site_label
_atom_site_fract_x
_atom_site_fract_y
_atom_site_fract_z
Ca1 0.0000 0.5339 0.0000
Tl1 0.0000 0.0000 0.0000
C1 0.0000 0.0000 0.5000
C2 0.0000 0.4675 0.5000
O1 0.0000 0.5925 0.5000
O2 0.0000 0.8742 0.5000
O3 0.0075 0.2091 0.8249



Record 4
# SiSbS2N | the Alexandria database | PBE-GGA | relaxed
# Final energy (eV/cell): -21.23
# Formation energy from raw total energies (meV/atom): 980
# ΔE to the lowest computed polymorph (meV per atom): 824
# Fermi-level density of states (states/eV/atom): 0.43
data_SiSbS2N
_symmetry_space_group_name_H-M 'P 4/m m m'
_symmetry_Int_Tables_number 123
_symmetry_space_group_name_Hall '-P 4 2'
_cell_length_a 5.0775
_cell_length_b 5.0775
_cell_length_c 3.8776
_cell_angle_alpha 90.00
_cell_angle_beta 90.00
_cell_angle_gamma 90.00
loop_
_atom_site_label
_atom_site_fract_x
_atom_site_fract_y
_atom_site_fract_z
Si1 0.0000 0.0000 0.0000
Sb1 0.5000 0.5000 0.5000
S1 0.0000 0.5000 0.5000
N1 0.5000 0.5000 0.0000



Record 5
# MoP3N | the Alexandria database | PBE-GGA | relaxed
# Final energy (eV/cell): -28.19
# Formation energy from raw total energies (meV/atom): 1439
# ΔE to the lowest computed polymorph (meV per atom): 675
# Fermi-level density of states (states/eV/atom): 0.82
data_MoP3N
_symmetry_space_group_name_H-M 'P m -3 m'
_symmetry_Int_Tables_number 221
_symmetry_space_group_name_Hall '-P 4 2 3'
_cell_length_a 4.6808
_cell_length_b 4.6808
_cell_length_c 4.6808
_cell_angle_alpha 90.00
_cell_angle_beta 90.00
_cell_angle_gamma 90.00
loop_
_atom_site_label
_atom_site_fract_x
_atom_site_fract_y
_atom_site_fract_z
Mo1 0.0000 0.0000 0.0000
P1 0.0000 0.0000 0.5000
N1 0.5000 0.5000 0.5000



Record 6
# TbMgCo2Ge2 | the Alexandria database | PBE-GGA | relaxed
# Final energy (eV/cell): -32.58
# Fermi-level density of states (states/eV/atom): 0.74
data_TbMgCo2Ge2
_symmetry_space_group_name_H-M 'P -3 m 1'
_symmetry_Int_Tables_number 164
_symmetry_space_group_name_Hall '-P 3 2"'
_cell_length_a 4.1304
_cell_length_b 4.1304
_cell_length_c 6.6440
_cell_angle_alpha 90.00
_cell_angle_beta 90.00
_cell_angle_gamma 120.00
loop_
_atom_site_label
_atom_site_fract_x
_atom_site_fract_y
_atom_site_fract_z
Tb1 0.0000 0.0000 0.0000
Mg1 0.0000 0.0000 0.5000
Co1 0.3333 0.6667 0.6419
Ge1 0.3333 0.6667 0.2740



Record 7
# Na2Mg5Hg3 | the Alexandria database | PBE-GGA | relaxed
# Final energy (eV/cell): -51.44
# Fermi-level density of states (states/eV/atom): 0.35
data_Na2Mg5Hg3
_symmetry_space_group_name_H-M 'C 1 2/c 1'
_symmetry_Int_Tables_number 15
_symmetry_space_group_name_Hall '-C 2yc'
_cell_length_a 10.9335
_cell_length_b 14.2389
_cell_length_c 6.1192
_cell_angle_alpha 90.00
_cell_angle_beta 96.51
_cell_angle_gamma 90.00
loop_
_atom_site_label
_atom_site_fract_x
_atom_site_fract_y
_atom_site_fract_z
Na1 0.1225 0.2358 0.1095
Mg1 0.0000 0.0241 0.2500
Mg2 0.1218 0.3446 0.6052
Mg3 0.2315 0.4612 0.0177
Hg1 0.0000 0.4576 0.2500
Hg2 0.1362 0.1418 0.6027



Record 8
# LiMg4Pb2 | the Alexandria database | PBE-GGA | relaxed
# Final energy (eV/cell): -29.06
# Fermi-level density of states (states/eV/atom): 0.50
data_LiMg4Pb2
_symmetry_space_group_name_H-M 'I 4/m m m'
_symmetry_Int_Tables_number 139
_symmetry_space_group_name_Hall '-I 4 2'
_cell_length_a 5.2697
_cell_length_b 5.2697
_cell_length_c 13.6700
_cell_angle_alpha 90.00
_cell_angle_beta 90.00
_cell_angle_gamma 90.00
loop_
_atom_site_label
_atom_site_fract_x
_atom_site_fract_y
_atom_site_fract_z
Li1 0.0000 0.0000 0.0000
Mg1 0.0000 0.5000 0.0000
Mg2 0.0000 0.5000 0.2500
Pb1 0.0000 0.0000 0.3671



Record 9
# LiCaAcPb | the Alexandria database | PBE-GGA | relaxed
# Final energy (eV/cell): -52.13
# Fermi-level density of states (states/eV/atom): 0.62
data_LiCaAcPb
_symmetry_space_group_name_H-M 'F -4 3 m'
_symmetry_Int_Tables_number 216
_symmetry_space_group_name_Hall 'F -4 2 3'
_cell_length_a 8.0133
_cell_length_b 8.0133
_cell_length_c 8.0133
_cell_angle_alpha 90.00
_cell_angle_beta 90.00
_cell_angle_gamma 90.00
loop_
_atom_site_label
_atom_site_fract_x
_atom_site_fract_y
_atom_site_fract_z
Li1 0.0000 0.0000 0.0000
Ca1 0.2500 0.2500 0.2500
Ac1 0.2500 0.2500 0.7500
Pb1 0.0000 0.0000 0.5000



Record 10
# AcHfAu2O8 | the Alexandria database | PBE-GGA | relaxed
# Final energy (eV/cell): -152.36
# Formation energy from raw total energies (meV/atom): -1325
# Fermi-level density of states (states/eV/atom): 0.64
data_AcHfAu2O8
_symmetry_space_group_name_H-M 'I -4'
_symmetry_Int_Tables_number 82
_symmetry_space_group_name_Hall 'I -4'
_cell_length_a 5.6065
_cell_length_b 5.6065
_cell_length_c 10.3603
_cell_angle_alpha 90.00
_cell_angle_beta 90.00
_cell_angle_gamma 90.00
loop_
_atom_site_label
_atom_site_fract_x
_atom_site_fract_y
_atom_site_fract_z
Ac1 0.0000 0.0000 0.0000
Hf1 0.0000 0.5000 0.2500
Au1 0.0000 0.0000 0.5000
Au2 0.0000 0.5000 0.7500
O1 0.0699 0.3810 0.4509
O2 0.1811 0.8091 0.7840



Record 11
# K2NaHgP | the Alexandria database | PBE-GGA | relaxed
# Final energy (eV/cell): -10.09
# ΔE to the lowest computed polymorph (meV per atom): 0
# Fermi-level density of states (states/eV/atom): 0.28
data_K2NaHgP
_symmetry_space_group_name_H-M 'P 4/m m m'
_symmetry_Int_Tables_number 123
_symmetry_space_group_name_Hall '-P 4 2'
_cell_length_a 6.3104
_cell_length_b 6.3104
_cell_length_c 5.4306
_cell_angle_alpha 90.00
_cell_angle_beta 90.00
_cell_angle_gamma 90.00
loop_
_atom_site_label
_atom_site_fract_x
_atom_site_fract_y
_atom_site_fract_z
K1 0.0000 0.5000 0.0000
Na1 0.0000 0.0000 0.5000
Hg1 0.5000 0.5000 0.5000
P1 0.0000 0.0000 0.0000



Record 12
# Co4Mo5 | the Alexandria database | PBE-GGA | relaxed
# Final energy (eV/cell): -161.72
# ΔE to the lowest computed polymorph (meV per atom): 45
# Fermi-level density of states (states/eV/atom): 1.13
data_Co4Mo5
_symmetry_space_group_name_H-M 'P 63/m c m'
_symmetry_Int_Tables_number 193
_symmetry_space_group_name_Hall '-P 6c 2'
_cell_length_a 7.6209
_cell_length_b 7.6209
_cell_length_c 4.8776
_cell_angle_alpha 90.00
_cell_angle_beta 90.00
_cell_angle_gamma 120.00
loop_
_atom_site_label
_atom_site_fract_x
_atom_site_fract_y
_atom_site_fract_z
Co1 0.0000 0.0000 0.0000
Co2 0.0000 0.3984 0.2500
Mo1 0.0000 0.2777 0.7500
Mo2 0.3333 0.6667 0.0000



- Which formula does entry 11 have?
  K2NaHgP